(1)
The following is a DFT calculation (PBE-GGA) of a relaxed FeCuBrN2 crystal.

a b c (Å): 4.0378 4.5856 4.0378
angles (deg): 90.00 90.00 90.00
Last column: magnetic moment on the atom in μB.
Atoms (fractional coordinates):
N  0.0000  0.0000  0.5000  0.56
N  0.5000  0.0000  0.0000  0.47
Cu  0.5000  0.5000  0.5000  0.10
Br  0.0000  0.0000  0.0000  0.02
Fe  0.0000  0.5000  0.0000  2.96

Properties
E	-3.72	eV per atom
E_form (uncorrected)	2.46	eV/atom
M_tot	0.89	μB/atom

***

(2)
The following is a DFT calculation (PBE-GGA) of a relaxed Si2TcAg crystal.

a b c (Å): 6.5463 6.5463 6.5463
angles (deg): 155.67 145.03 43.06
Atoms (fractional coordinates):
Ag  0.3016  0.8016  0.5000
Si  0.9851  0.9851  0.0000
Si  0.6929  0.1929  0.5000
Tc  0.5204  0.5204  0.0000

Properties
relative energy among the computed polymorphs	136	meV/atom
E	-5.94	eV per atom
E_form (uncorrected)	0.08	eV/atom
M_tot	0.00	μB/atom

***

(3)
The following is a DFT calculation (PBE-GGA) of a relaxed PPtO2F crystal.

a b c (Å): 4.1501 4.1501 3.5601
angles (deg): 90.00 90.00 90.00
Last column: magnetic moment on the atom in μB.
Atoms (fractional coordinates):
P  0.0000  0.0000  0.5000  -0.06
O  0.0000  0.5000  0.0000  0.71
O  0.5000  0.0000  0.0000  0.71
Pt  0.5000  0.5000  0.5000  0.46
F  0.0000  0.0000  0.0000  0.20

Properties
E	-3.65	eV per atom
E_form (uncorrected)	0.99	eV/atom
M_tot	0.42	μB/atom

***

(4)
The following is a DFT calculation (PBE-GGA) of a relaxed ErZnNi crystal.

a b c (Å): 3.3566 3.3566 5.2195
angles (deg): 108.76 108.76 90.00
Atoms (fractional coordinates):
Ni  0.2663  0.2663  0.5325
Zn  0.6411  0.6411  0.2822
Er  0.9426  0.9426  0.8853

Properties
E	-4.20	eV per atom
formation energy	-326	meV/atom
M_tot	0.00	μB/atom

***

(5)
The following is a DFT calculation (PBE-GGA) of a relaxed NiIr3Os crystal.

a b c (Å): 4.3690 4.3690 4.3690
angles (deg): 90.00 90.00 90.00
Last column: magnetic moment on the atom in μB.
Atoms (fractional coordinates):
Ni  0.0000  0.0000  0.0000  0.41
Ir  0.0000  0.5000  0.0000  0.31
Ir  0.0000  0.0000  0.5000  0.65
Ir  0.5000  0.0000  0.0000  0.18
Os  0.5000  0.5000  0.5000  0.07

Properties
relative energy among the computed polymorphs	1835	meV/atom
E	-6.85	eV per atom
formation energy	1872	meV/atom
M_tot	0.32	μB/atom

***

(6)
The following is a DFT calculation (PBE-GGA) of a relaxed BeIr2Os crystal.

a b c (Å): 4.9626 4.9626 4.9626
angles (deg): 147.14 128.25 62.67
Atoms (fractional coordinates):
Be  0.7500  0.2500  0.5000
Ir  0.9688  0.9688  0.0000
Ir  0.5312  0.5312  0.0000
Os  0.2500  0.7500  0.5000

Properties
E	-8.24	eV per atom
formation energy	-66	meV/atom
M_tot	0.00	μB/atom

***

(7)
The following is a DFT calculation (PBE-GGA) of a relaxed Sm4SnSeS2 crystal.

a b c (Å): 4.1629 7.2536 7.2411
angles (deg): 70.57 90.00 90.00
Atoms (fractional coordinates):
Sm  0.0000  0.7701  0.7376
Sm  0.0000  0.2299  0.2624
Sm  0.5000  0.7670  0.2467
Sm  0.5000  0.2330  0.7533
Sn  0.5000  0.5000  0.0000
Se  0.0000  0.5000  0.5000
S  0.0000  0.0000  0.0000
S  0.5000  0.0000  0.5000

Properties
E	-5.96	eV per atom
E_form (uncorrected)	-1.63	eV/atom
M_tot	0.00	μB/atom

***

(8)
The following is a DFT calculation (PBE-GGA) of a relaxed La2CCl crystal.

a b c (Å): 7.6825 7.6825 7.6825
angles (deg): 29.14 29.14 29.14
Atoms (fractional coordinates):
C  0.5000  0.5000  0.5000
Cl  0.0000  0.0000  0.0000
La  0.2311  0.2311  0.2311
La  0.7689  0.7689  0.7689

Properties
relative energy among the computed polymorphs	0	meV/atom
E	-6.26	eV per atom
E_form (uncorrected)	-1.03	eV/atom
M_tot	0.00	μB/atom

***

(9)
The following is a DFT calculation (PBE-GGA) of a relaxed SrIn2Sb2 crystal.

a b c (Å): 4.5987 4.5987 8.3325
angles (deg): 73.98 73.98 90.00
Atoms (fractional coordinates):
Sb  0.4023  0.4023  0.1954
Sb  0.5977  0.5977  0.8046
Sr  0.0000  0.0000  0.0000
In  0.7500  0.2500  0.5000
In  0.2500  0.7500  0.5000

Properties
E	-3.40	eV per atom
E_form (uncorrected)	-0.32	eV/atom
M_tot	0.00	μB/atom

***

(10)
The following is a DFT calculation (PBE-GGA) of a relaxed Er4BeTe2Se crystal.

a b c (Å): 4.0402 7.2462 7.3932
angles (deg): 107.91 90.00 90.00
Atoms (fractional coordinates):
Er  0.5000  0.2564  0.2169
Er  0.5000  0.7436  0.7831
Er  0.0000  0.2753  0.7841
Er  0.0000  0.7247  0.2159
Be  0.5000  0.5000  0.0000
Te  0.5000  0.0000  0.5000
Te  0.0000  0.5000  0.5000
Se  0.0000  0.0000  0.0000

Properties
E	-5.03	eV per atom
E_form (uncorrected)	-1.06	eV/atom
M_tot	0.00	μB/atom

***

(11)
The following is a DFT calculation (PBE-GGA) of a relaxed CsSeN2 crystal.

a b c (Å): 8.0398 8.0398 8.0398
angles (deg): 23.42 23.42 23.42
Atoms (fractional coordinates):
Cs  0.0000  0.0000  0.0000
Se  0.5000  0.5000  0.5000
N  0.8793  0.8793  0.8793
N  0.1207  0.1207  0.1207

Properties
relative energy among the computed polymorphs	1836	meV/atom
E	-3.85	eV per atom
E_form (uncorrected)	1.40	eV/atom
M_tot	0.00	μB/atom

***

(12)
The following is a DFT calculation (PBE-GGA) of a relaxed SnSbI2Cl crystal.

a b c (Å): 5.5440 5.5440 5.7346
angles (deg): 90.00 90.00 90.00
Atoms (fractional coordinates):
I  0.0000  0.5000  0.0000
I  0.5000  0.0000  0.0000
Sb  0.0000  0.0000  0.5000
Sn  0.5000  0.5000  0.5000
Cl  0.0000  0.0000  0.0000

Properties
relative energy among the computed polymorphs	272	meV/atom
E	-2.09	eV per atom
E_form (uncorrected)	0.53	eV/atom
M_tot	0.00	μB/atom

***

Q: Look up the E of the sixth one.
A: -8.24 eV per atom

***

Q: The highest E belongs to which entry?
A: SnSbI2Cl